# GGA-PBE VInOs2Se, relaxed
# magnetic moment = 1.203 μB per formula unit
# formation energy without anion corrections = 7.529 eV per formula unit
# DFT total energy = -6.0544 eV per atom
data_VInOs2Se
_chemical_formula_sum 'V1 In1 Os2 Se1'
_symmetry_space_group_name_H-M 'P 4/m m m'
_symmetry_Int_Tables_number 123
_symmetry_space_group_name_Hall '-P 4 2'
_cell_length_a 4.542
_cell_length_b 4.542
_cell_length_c 5.071
_cell_angle_alpha 90.00
_cell_angle_beta 90.00
_cell_angle_gamma 90.00
loop_
_atom_site_label
_atom_site_type_symbol
_atom_site_fract_x
_atom_site_fract_y
_atom_site_fract_z
_atom_site_occupancy
V1 V 0.000 0.000 0.000 1
In1 In 0.000 0.000 0.500 1
Os1 Os 0.000 0.500 0.000 1
Se1 Se 0.500 0.500 0.500 1